Entry 1:
Here is a geometry-optimized BiW2Br structure from Alexandria. Energies are from PBE.

Cell and atoms, written as POSCAR:
```
BiW2Br
1.0
-1.188 2.967 3.251
0.343 -3.295 3.132
7.937 1.856 4.402
W Br Bi
4 2 2
Direct
0.375 0.463 0.750
0.875 0.787 0.750
0.213 0.625 0.250
0.537 0.125 0.250
0.500 0.500 0.000
0.250 0.750 0.500
0.750 0.250 0.500
0.000 0.000 0.000
```

Properties
calculated volume = 22.6 Å³ per atom
E_form (uncorrected) = 5.4 eV per formula unit
E = -6.522 eV per atom
density of states at the Fermi level = 6.666 states/eV per cell
theoretical density = 12.1 g cm⁻³


Entry 2:
Here is a geometry-optimized Nd3Mg4Zn4 structure from Alexandria. Energies are from PBE.

Cell and atoms, written as POSCAR:
```
Nd3Mg4Zn4
1.0
-0.560 -0.289 -4.147
4.516 -6.695 -0.144
-8.263 -0.772 3.292
Mg Zn Nd
4 4 3
Direct
0.327 0.137 0.654
0.673 0.483 0.346
0.327 0.517 0.654
0.673 0.863 0.346
0.500 0.804 0.000
0.500 0.196 0.000
0.768 0.268 0.536
0.232 0.732 0.464
0.115 0.115 0.230
0.885 0.885 0.770
0.000 0.500 0.000
```

Properties
calculated volume = 23.7 Å³ per atom
E = -2.551 eV per atom
density of states at the Fermi level = 9.413 states/eV per cell
theoretical density = 5.1 g cm⁻³


Entry 3:
Here is a geometry-optimized Sr3As2Pd5 structure from Alexandria. Energies are from PBE.

Cell and atoms, written as POSCAR:
```
Sr3As2Pd5
1.0
6.213 0.000 0.000
3.107 8.565 -0.732
3.107 1.567 8.452
As Pd Sr
4 10 6
Direct
0.145 0.700 0.009
0.855 0.300 0.991
0.645 0.009 0.700
0.355 0.991 0.300
0.016 0.234 0.234
0.630 0.234 0.505
0.370 0.766 0.495
0.870 0.495 0.766
0.250 0.500 0.500
0.750 0.500 0.500
0.516 0.234 0.234
0.484 0.766 0.766
0.130 0.505 0.234
0.984 0.766 0.766
0.250 0.000 0.000
0.750 0.000 0.000
0.381 0.407 0.831
0.119 0.169 0.593
0.881 0.831 0.407
0.619 0.593 0.169
```

Properties
calculated volume = 22.8 Å³ per atom
E = -4.574 eV per atom
density of states at the Fermi level = 19.831 states/eV per cell
theoretical density = 6.9 g cm⁻³